Record 1
A relaxed structure of K2InAu, computed with GGA-PBE.

Cell: 11.8899 11.8899 8.8180 Å, 47.61 47.61 90.00°
Fractional coordinates of all 8 atoms:
1 K 0.3750 0.2245 0.7500
2 K 0.9745 0.6250 0.2500
3 K 0.7755 0.1250 0.2500
4 K 0.8750 0.0255 0.7500
5 Au 0.7500 0.2500 0.5000
6 Au 0.0000 0.0000 0.0000
7 In 0.5000 0.5000 0.0000
8 In 0.2500 0.7500 0.5000

Computed properties:
magnetic moment: 0.0 μB per cell
density: 3445 kg/m3
ΔE_f: -0.49 eV/f.u.

=====

Record 2
A relaxed structure of HoAlF, computed with GGA-PBE.

Cell: 3.3331 3.3331 9.1611 Å, 90.00 90.00 90.00°
Fractional coordinates of all 6 atoms:
1 Ho 0.5000 0.0000 0.8073
2 Ho 0.0000 0.5000 0.1927
3 Al 0.0000 0.5000 0.5823
4 Al 0.5000 0.0000 0.4177
5 F 0.0000 0.5000 0.9350
6 F 0.5000 0.0000 0.0650

Computed properties:
magnetic moment: 0.0 μB per cell
density: 6882 kg/m3
energy relative to the elements, uncorrected: -1.69 eV/atom

=====

Record 3
A relaxed structure of PPbSCl2, computed with GGA-PBE.

Cell: 5.3505 5.3505 5.7039 Å, 90.00 90.00 90.00°
Site moments in Bohr magnetons follow the coordinates.
Fractional coordinates of all 5 atoms:
1 Cl 0.0000 0.5000 0.0000  0.03
2 Cl 0.5000 0.0000 0.0000  0.03
3 Pb 0.0000 0.0000 0.0000  0.00
4 P 0.5000 0.5000 0.5000  1.01
5 S 0.0000 0.0000 0.5000  -0.40

Computed properties:
magnetic moment: 1.7 μB per cell
ΔE to the lowest computed polymorph: 547 meV/atom
density: 3469 kg/m3
energy relative to the elements, uncorrected: 0.44 eV/atom

=====

What is the formula in the third record? PPbSCl2